Entry 1:
Material: CePmPd
Method: DFT, GGA-PBE
State: relaxed

Output
- M_tot (μB per cell) = 0.33
- uncorrected energy (eV for the cell shown) = -17.1

Cell lengths 6.184, 6.184, 6.184 Å; angles 145.26, 145.26, 49.95 degrees
Fractional coordinates of all 3 atoms:
1 Ce 0.000 0.000 0.000
2 Pm 0.296 0.296 0.000
3 Pd 0.631 0.631 0.000

Entry 2:
Material: CePmPd2
Method: DFT, GGA-PBE
State: relaxed

Output
- M_tot (μB per cell) = 0.53
- uncorrected energy (eV for the cell shown) = -23.6

Cell lengths 7.273, 7.273, 7.273 Å; angles 33.11, 33.11, 33.11 degrees
Fractional coordinates of all 4 atoms:
1 Ce 0.000 0.000 0.000
2 Pm 0.500 0.500 0.500
3 Pd 0.253 0.253 0.253
4 Pd 0.747 0.747 0.747

| no. | ΔE to the lowest computed polymorph (meV per atom) |
| --- | --- |
| 1 | 69 |
| 2 | 104 |